The following is a DFT calculation (PBE) of a geometry-optimized SmGdGa2Ag2 structure.

Cell: 4.6275 4.6275 7.1513 Å, 90.00 90.00 120.00°
Space group P-6m2 (No. 187)
One atom of each set of equivalent atoms:
Sm  0.0000  0.0000  0.0000 [1 per cell]
Gd  0.0000  0.0000  0.5000 [1 per cell]
Ga  0.6667  0.3333  0.2828 [2 per cell]
Ag  0.3333  0.6667  0.2417 [2 per cell]

- energy (eV/atom) = -4.0152
- V (Å³/atom) = 22.1
- energy relative to the lowest polymorph listed for this composition (eV per formula unit) = 0.00